Record 1
Below is a relaxed structure of TiCrTeC2, with properties calculated at the PBE level.

Values from the calculation:
The uncorrected formation energy is 1.74 eV/atom. The calculation puts the electronic total energy at -30.40 eV for the cell shown.

abc: 3.9805 5.5411 3.9805
angles: 90.00 90.00 90.00
With the nearest neighbours (Å) after each atom.
Fractional positions:
Cr1 0.5000 0.5000 0.5000  4 Te 2.81
Te1 0.0000 0.5000 0.0000  2 Ti 2.77, 4 Cr 2.81
C1 0.5000 0.0000 0.0000  2 Ti 1.99
C2 0.0000 0.0000 0.5000  2 Ti 1.99
Ti1 0.0000 0.0000 0.0000  4 C 1.99



Record 2
Below is a relaxed structure of ThCr2C3, with properties calculated at the PBE level.

Values from the calculation:
For the formation energy, the calculation gives 28 meV/atom. The calculation puts the electronic total energy at -108.35 eV for the cell shown.

abc: 5.7862 5.7862 4.8528
angles: 90.00 90.00 109.13
With the nearest neighbours (Å) after each atom.
Fractional positions:
C1 0.3103 0.4743 0.7500  1 C 1.45
C2 0.5257 0.6897 0.7500  1 C 1.45
C3 0.4743 0.3103 0.2500  1 C 1.45
C4 0.0936 0.9064 0.7500  4 Cr 1.95
C5 0.9064 0.0936 0.2500  4 Cr 1.95
C6 0.6897 0.5257 0.2500  1 C 1.45
Cr1 0.1865 0.1865 0.5000  4 C 1.95-1.99
Cr2 0.8135 0.8135 0.0000  4 C 1.95-1.99
Cr3 0.8135 0.8135 0.5000  4 C 1.95-1.99
Cr4 0.1865 0.1865 0.0000  4 C 1.95-1.99
Th1 0.6997 0.3003 0.7500  6 C 2.75-2.76, 4 Cr 3.07
Th2 0.3003 0.6997 0.2500  6 C 2.75-2.76, 4 Cr 3.07



Record 3
Below is a relaxed structure of Th2CrC, with properties calculated at the PBE level.

Values from the calculation:
For the formation energy, the calculation gives 438 meV/atom. The calculation puts the electronic total energy at -31.94 eV for the cell shown.

abc: 3.5056 3.5056 9.3811
angles: 79.23 79.23 60.00
With the nearest neighbours (Å) after each atom.
Fractional positions:
C1 0.5000 0.5000 0.5000  6 Th 2.53
Th1 0.1115 0.1115 0.6656  3 C 2.53
Th2 0.8885 0.8885 0.3344  3 C 2.53
Cr1 0.0000 0.0000 0.0000  2 Th 3.06